# 1
Entry from Alexandria: an optimized crystal structure of BaPtSe (GGA-PBE).

Properties
The calculation puts the formation energy without anion corrections at -1.120 eV/atom. Its space group is Pnma. The calculation puts the total energy at -4.94 eV per atom.

Lattice parameters (Å, degrees): 9.8503 4.0653 8.7346 90.00 90.00 90.00
Positions (direct):
Se1 0.4455 0.7500 0.2229
Ba1 0.7169 0.7500 0.9968
Se2 0.5545 0.2500 0.7771
Ba2 0.2831 0.2500 0.0032
Pt1 0.0249 0.7500 0.8983
Se3 0.9455 0.7500 0.2771
Ba3 0.7831 0.2500 0.4968
Pt2 0.9751 0.2500 0.1017
Pt3 0.4751 0.2500 0.3983
Pt4 0.5249 0.7500 0.6017
Ba4 0.2169 0.7500 0.5032
Se4 0.0545 0.2500 0.7229

# 2
Entry from Alexandria: an optimized crystal structure of LiEuGaIr (GGA-PBE).

Properties
Its space group is F-43m. The calculation puts the total energy at -6.32 eV per atom.

Lattice parameters (Å, degrees): 4.7062 4.7062 4.7062 60.00 60.00 60.00
Each line ends with the local moment (μB).
Positions (direct):
Eu1 0.7500 0.7500 0.7500  6.72
Ir1 0.0000 0.0000 0.0000  -0.04
Ga1 0.2500 0.2500 0.2500  0.00
Li1 0.5000 0.5000 0.5000  0.02

# 3
Entry from Alexandria: an optimized crystal structure of TiCu2NiS4 (GGA-PBE).

Properties
The calculation puts the formation energy without anion corrections at -0.581 eV/atom. Its space group is I-42m. The calculation puts the total energy at -5.38 eV per atom.

Lattice parameters (Å, degrees): 5.2974 5.2974 6.4539 114.26 114.26 89.98
Each line ends with the local moment (μB).
Positions (direct):
S1 0.1214 0.1214 0.7531  0.09
Ni1 0.0000 0.0000 0.9999  0.98
Ti1 0.5002 0.5002 0.0002  0.05
S2 0.8788 0.3683 0.2472  0.09
Cu1 0.2500 0.7500 0.5000  0.14
S3 0.3683 0.8788 0.2472  0.09
S4 0.6316 0.6316 0.7530  0.09
Cu2 0.7500 0.2500 0.5000  0.14

# 4
Entry from Alexandria: an optimized crystal structure of UNiPt2Rh2 (GGA-PBE).

Properties
Its space group is P2_1/m. The calculation puts the total energy at -7.70 eV per atom.

Lattice parameters (Å, degrees): 5.5316 5.4573 6.5464 101.02 90.00 90.00
Positions (direct):
Pt1 0.9980 0.2051 0.1651
Pt2 0.0020 0.7949 0.8349
Ni1 0.7500 0.6200 0.1124
Rh1 0.7500 0.5139 0.4892
Ni2 0.2500 0.3800 0.8876
U1 0.7500 0.2772 0.7842
U2 0.2500 0.7228 0.2158
Rh2 0.2500 0.4861 0.5108
Rh3 0.7500 0.9909 0.4573
Rh4 0.2500 0.0091 0.5427
Pt3 0.4980 0.7949 0.8349
Pt4 0.5020 0.2051 0.1651

# 5
Entry from Alexandria: an optimized crystal structure of NaZrO2F (GGA-PBE).

Properties
The calculation puts the formation energy without anion corrections at -1.354 eV/atom. Its space group is P4/mmm. The calculation puts the total energy at -5.68 eV per atom.

Lattice parameters (Å, degrees): 3.9658 3.9658 3.6420 90.00 90.00 90.00
Positions (direct):
Na1 0.0000 0.0000 0.0000
O1 0.5000 0.0000 0.0000
O2 0.0000 0.5000 0.0000
Zr1 0.5000 0.5000 0.5000
F1 0.0000 0.0000 0.5000

# 6
Entry from Alexandria: an optimized crystal structure of Pm3Pr7Tm (GGA-PBE).

Properties
Its space group is Cmcm. The calculation puts the total energy at -4.61 eV per atom. The calculation puts the energy above the most stable polymorph in this dataset at 0.00 kcal/mol of atoms.

Lattice parameters (Å, degrees): 10.1488 10.1488 11.5770 90.00 90.00 138.55
Positions (direct):
Pr1 0.5847 0.9060 0.0276
Pr2 0.4153 0.0940 0.9724
Pr3 0.5847 0.9060 0.4724
Pr4 0.0940 0.4153 0.5276
Tm1 0.5000 0.5000 0.5000
Pr5 0.8116 0.6395 0.7500
Pm1 0.7613 0.2455 0.2500
Pr6 0.3605 0.1884 0.2500
Pm2 0.0000 0.0000 0.0000
Pm3 0.2387 0.7545 0.7500
Pr7 0.1884 0.3605 0.2500
Pm4 0.7545 0.2387 0.7500
Pr8 0.7699 0.7699 0.2500
Pm5 0.0000 0.0000 0.5000
Pr9 0.0940 0.4153 0.9724
Pr10 0.6395 0.8116 0.7500
Pr11 0.4153 0.0940 0.5276
Pr12 0.9060 0.5847 0.0276
Pr13 0.9060 0.5847 0.4724
Tm2 0.5000 0.5000 0.0000
Pm6 0.2455 0.7613 0.2500
Pr14 0.2301 0.2301 0.7500

# 7
Entry from Alexandria: an optimized crystal structure of PaCrTc (GGA-PBE).

Properties
Its space group is P3m1. The calculation puts the total energy at -9.63 eV per atom. The calculation puts the energy above the most stable polymorph in this dataset at 0.00 kcal/mol of atoms.

Lattice parameters (Å, degrees): 3.9499 3.9499 4.1268 90.00 90.00 120.00
Positions (direct):
Cr1 0.6667 0.3333 0.2478
Pa1 0.3333 0.6667 0.6647
Tc1 0.0000 0.0000 0.0875

# 8
Entry from Alexandria: an optimized crystal structure of NpPaIr2 (GGA-PBE).

Properties
Its space group is P4/mmm. The calculation puts the total energy at -10.47 eV per atom. The calculation puts the energy above the most stable polymorph in this dataset at 2.04 kcal/mol of atoms.

Lattice parameters (Å, degrees): 3.4775 3.4775 6.8088 90.00 90.00 90.00
Each line ends with the local moment (μB).
Positions (direct):
Ir1 0.0000 0.0000 0.7364  -0.17
Np1 0.5000 0.5000 0.0000  3.81
Ir2 0.0000 0.0000 0.2636  -0.17
Pa1 0.5000 0.5000 0.5000  0.62

# 9
Entry from Alexandria: an optimized crystal structure of Cd4InBr (GGA-PBE).

Properties
The calculation puts the formation energy without anion corrections at -0.007 eV/atom. Its space group is F-43m. The calculation puts the total energy at -1.35 eV per atom.

Lattice parameters (Å, degrees): 6.1139 6.1139 6.1139 60.00 60.00 60.00
Positions (direct):
Br1 0.0000 0.0000 0.0000
Cd1 0.3751 0.8747 0.3751
Cd2 0.8747 0.3751 0.3751
In1 0.7500 0.7500 0.7500
Cd3 0.3751 0.3751 0.3751
Cd4 0.3751 0.3751 0.8747

# 10
Entry from Alexandria: an optimized crystal structure of Cd3Cu5O12 (GGA-PBE).

Properties
The calculation puts the formation energy without anion corrections at -0.402 eV/atom. Its space group is Ia-3d. The calculation puts the total energy at -4.54 eV per atom.

Lattice parameters (Å, degrees): 10.6815 10.6815 10.6815 109.47 109.47 109.47
Each line ends with the local moment (μB).
Positions (direct):
Cu1 0.5000 0.0000 0.5000  -0.08
Cu2 0.8750 0.2500 0.6250  0.53
Cd1 0.2500 0.1250 0.3750  0.01
Cd2 0.8750 0.7500 0.1250  0.01
O1 0.3263 0.5229 0.4034  0.23
O2 0.3805 0.9771 0.8035  0.23
Cu3 0.1250 0.7500 0.3750  0.53
O3 0.0770 0.9034 0.3805  0.23
Cu4 0.0000 0.5000 0.5000  -0.08
Cd3 0.3750 0.7500 0.6250  0.01
Cd4 0.8750 0.1250 0.2500  0.01
O4 0.4771 0.6737 0.0966  0.23
O5 0.5770 0.6965 0.6737  0.23
Cu5 0.5000 0.5000 0.5000  -0.08
O6 0.8035 0.4771 0.3805  0.23
O7 0.0966 0.9230 0.1195  0.23
Cu6 0.3750 0.1250 0.7500  0.53
O8 0.5966 0.6195 0.4230  0.23
O9 0.8263 0.9034 0.0229  0.23
O10 0.5229 0.1965 0.1195  0.23
Cu7 0.2500 0.8750 0.1250  0.53
O11 0.1965 0.5229 0.6195  0.23
O12 0.3035 0.8805 0.9771  0.23
O13 0.6195 0.5966 0.9230  0.23
O14 0.0966 0.1737 0.4771  0.23
Cu8 0.5000 0.0000 0.0000  -0.08
O15 0.9034 0.0770 0.8805  0.23
O16 0.1195 0.6965 0.5229  0.23
Cu9 0.6250 0.7500 0.8750  0.53
O17 0.9034 0.8263 0.5229  0.23
O18 0.6965 0.1195 0.0229  0.23
O19 0.4034 0.3805 0.5770  0.23
O20 0.3035 0.4230 0.8263  0.23
O21 0.0229 0.4034 0.8263  0.23
O22 0.8035 0.3263 0.9230  0.23
Cd5 0.3750 0.6250 0.2500  0.01
Cd6 0.2500 0.6250 0.8750  0.01
Cu10 0.7500 0.6250 0.3750  0.53
O23 0.0229 0.6195 0.6965  0.23
Cu11 0.8750 0.6250 0.7500  0.53
Cd7 0.6250 0.3750 0.7500  0.01
O24 0.9771 0.5966 0.1737  0.23
O25 0.3805 0.4034 0.0770  0.23
O26 0.0770 0.1737 0.1965  0.23
Cd8 0.7500 0.3750 0.1250  0.01
Cu12 0.0000 0.0000 0.0000  -0.08
Cu13 0.5000 0.5000 0.0000  -0.08
O27 0.1965 0.6737 0.0770  0.23
O28 0.9230 0.0966 0.6195  0.23
Cu14 0.2500 0.3750 0.6250  0.53
O29 0.4230 0.3035 0.3263  0.23
O30 0.8805 0.5770 0.9034  0.23
Cd9 0.6250 0.2500 0.3750  0.01
Cu15 0.0000 0.0000 0.5000  -0.08
O31 0.4034 0.0229 0.3263  0.23
O32 0.5770 0.8805 0.4034  0.23
Cd10 0.1250 0.2500 0.8750  0.01
O33 0.6737 0.1965 0.5770  0.23
O34 0.9230 0.8263 0.8035  0.23
Cu16 0.7500 0.1250 0.8750  0.53
Cd11 0.1250 0.8750 0.7500  0.01
O35 0.5229 0.3263 0.9034  0.23
O36 0.4771 0.8035 0.8805  0.23
O37 0.4230 0.1195 0.5966  0.23
Cu17 0.1250 0.3750 0.2500  0.53
Cu18 0.6250 0.8750 0.2500  0.53
Cu19 0.0000 0.5000 0.0000  -0.08
O38 0.8263 0.9230 0.3035  0.23
O39 0.9771 0.3805 0.3035  0.23
O40 0.5966 0.9771 0.6737  0.23
O41 0.6965 0.5770 0.1737  0.23
Cu20 0.3750 0.2500 0.1250  0.53
O42 0.3263 0.8035 0.4230  0.23
Cd12 0.7500 0.8750 0.6250  0.01
O43 0.1195 0.4230 0.0966  0.23
O44 0.6195 0.0229 0.1965  0.23
O45 0.8805 0.3035 0.4771  0.23
O46 0.1737 0.0770 0.6965  0.23
O47 0.6737 0.4771 0.5966  0.23
O48 0.1737 0.0966 0.9771  0.23

# 11
Entry from Alexandria: an optimized crystal structure of PrNdGaPt (GGA-PBE).

Properties
Its space group is F-43m. The calculation puts the total energy at -5.37 eV per atom. The calculation puts the energy above the most stable polymorph in this dataset at 2.80 kcal/mol of atoms.

Lattice parameters (Å, degrees): 5.2043 5.2043 5.2043 60.00 60.00 60.00
Positions (direct):
Nd1 0.5000 0.5000 0.5000
Pr1 0.0000 0.0000 0.0000
Ga1 0.7500 0.7500 0.7500
Pt1 0.2500 0.2500 0.2500

# 12
Entry from Alexandria: an optimized crystal structure of PrInPbI6 (GGA-PBE).

Properties
The calculation puts the formation energy without anion corrections at -0.944 eV/atom. Its space group is P-31c. The calculation puts the total energy at -3.22 eV per atom.

Lattice parameters (Å, degrees): 8.1734 8.1734 15.1925 90.00 90.00 120.00
Positions (direct):
Pr1 0.6667 0.3333 0.2500
I1 0.6386 0.9912 0.8706
In1 0.0000 0.0000 0.0000
I2 0.3526 0.3614 0.8706
I3 0.0088 0.3614 0.6294
I4 0.6474 0.6386 0.1294
Pb1 0.6667 0.3333 0.7500
I5 0.9912 0.3526 0.1294
I6 0.6386 0.6474 0.6294
I7 0.3526 0.9912 0.6294
I8 0.3614 0.3526 0.3706
In2 0.0000 0.0000 0.5000
I9 0.3614 0.0088 0.1294
I10 0.0088 0.6474 0.8706
Pb2 0.3333 0.6667 0.2500
Pr2 0.3333 0.6667 0.7500
I11 0.6474 0.0088 0.3706
I12 0.9912 0.6386 0.3706